No. 1
Material: Ba3SmRu2O9
Method: DFT, SCAN
State: PBEsol geometry

The space group is P6_3/mmc (No. 194) and the conventional cell measures 5.8952, 5.8952 and 14.5465 Å, with angles of 90.00, 90.00 and 120.00 degrees. Symmetry generates all atoms from Ba at (0.0000, 0.0000, 0.2500), Ba at (0.3333, 0.6667, 0.0991), Sm at (0.0000, 0.0000, 0.0000), Ru at (0.3333, 0.6667, 0.6660), O at (0.0173, 0.5087, 0.7500) and O at (0.1782, 0.3564, 0.5911).

The uncorrected formation energy is -3568 kJ/mol of formula units. For the volume, the calculation gives 437.82 Å³ per cell. The total magnetization is 0.20 μB/atom.

---

No. 2
Material: Ba3TbRu2O9
Method: DFT, SCAN
State: PBEsol geometry

The space group is P6_3/mmc (No. 194) and the conventional cell measures 5.8680, 5.8680 and 14.3978 Å, with angles of 90.00, 90.00 and 120.00 degrees. Symmetry generates all atoms from Ba at (0.0000, 0.0000, 0.2500), Ba at (0.3333, 0.6667, 0.0954), Tb at (0.0000, 0.0000, 0.0000), Ru at (0.3333, 0.6667, 0.6650), O at (0.0180, 0.5090, 0.7500) and O at (0.1771, 0.3541, 0.5889).

The uncorrected formation energy is -3616 kJ/mol of formula units. For the volume, the calculation gives 429.34 Å³ per cell. The total magnetization is 0.20 μB/atom.

---

No. 3
Material: Ba3TmRu2O9
Method: DFT, SCAN
State: PBEsol geometry

The space group is P6_3/mmc (No. 194) and the conventional cell measures 5.8354, 5.8354 and 14.2790 Å, with angles of 90.00, 90.00 and 120.00 degrees. Symmetry generates all atoms from Ba at (0.0000, 0.0000, 0.2500), Ba at (0.3333, 0.6667, 0.0931), Tm at (0.0000, 0.0000, 0.0000), Ru at (0.3333, 0.6667, 0.6640), O at (0.0183, 0.5091, 0.7500) and O at (0.1755, 0.3511, 0.5871).

The uncorrected formation energy is -3663 kJ/mol of formula units. For the volume, the calculation gives 421.08 Å³ per cell. The total magnetization is 0.20 μB/atom.